Entry 1:
A plane-wave DFT calculation with PBE was carried out for a geometry-optimized Zr2In2Os structure.

Cell and atoms, written as extended XYZ:
```
5
Lattice="3.747 0.000 0.000 0.000 3.747 0.000 1.873 1.873 8.017" Properties=species:S:1:pos:R:3 pbc="T T T"
Os 0.000 0.000 0.000
Zr 1.873 1.873 1.436
Zr 3.747 3.747 6.581
In 3.747 1.873 4.008
In 1.873 3.747 4.008
```

Results
volume = 22.51 Å³ per atom
DFT formation energy = 2.1 eV per formula unit
density of states at the Fermi level = 5.227 states/eV/cell
total magnetization = 0.0 μB/cell

***

Entry 2:
A plane-wave DFT calculation with PBE was carried out for a geometry-optimized Tb4Dy3Zr structure.

Cell and atoms, written as extended XYZ:
```
8
Lattice="5.465 0.000 -1.089 -0.063 3.450 -0.315 -0.215 1.210 13.176" Properties=species:S:1:pos:R:3 pbc="T T T"
Tb 3.205 1.969 1.828
Tb 1.982 2.691 9.943
Tb 1.368 2.396 6.865
Tb 3.819 2.265 4.906
Zr 2.733 0.000 -0.545
Dy -0.031 1.725 -0.158
Dy 4.417 4.287 7.906
Dy 0.770 0.373 3.865
```

Results
volume = 31.22 Å³ per atom
DFT formation energy = 1.5 eV per formula unit
density of states at the Fermi level = 11.902 states/eV/cell
total magnetization = 0.0 μB/cell

***

Entry 3:
A plane-wave DFT calculation with PBE was carried out for a geometry-optimized YTa2NbTc structure.

Cell and atoms, written as extended XYZ:
```
5
Lattice="4.866 0.000 0.000 0.000 4.907 0.000 0.000 0.000 4.866" Properties=species:S:1:pos:R:3 pbc="T T T"
Y 2.433 2.453 2.433
Nb 0.000 2.453 0.000
Tc 0.000 0.000 0.000
Ta 0.000 0.000 2.433
Ta 2.433 0.000 0.000
```

Results
volume = 23.24 Å³ per atom
DFT formation energy = 3.8 eV per formula unit
density of states at the Fermi level = 7.004 states/eV/cell
total magnetization = 0.0 μB/cell

***

Entry 4:
A plane-wave DFT calculation with PBE was carried out for a geometry-optimized KAsRu2 structure.

Cell and atoms, written as extended XYZ:
```
4
Lattice="3.757 0.000 0.000 0.000 2.981 0.011 0.000 1.667 7.567" Properties=species:S:1:pos:R:3 pbc="T T T"
As 1.878 1.162 1.894
K 1.878 3.486 5.683
Ru 0.000 0.325 0.703
Ru 0.000 1.999 3.086
```

Results
volume = 21.17 Å³ per atom
DFT formation energy = 2.5 eV per formula unit
density of states at the Fermi level = 5.348 states/eV/cell
total magnetization = 1.0 μB/cell

***

Entry 5:
A plane-wave DFT calculation with PBE was carried out for a geometry-optimized Cs3Tl2Br2Cl4 structure.

Cell and atoms, written as extended XYZ:
```
11
Lattice="5.773 0.000 0.000 0.000 5.773 0.000 -2.886 -2.886 13.860" Properties=species:S:1:pos:R:3 pbc="T T T"
Cs 0.000 0.000 0.000
Cs 0.000 0.000 4.773
Cs 2.886 2.886 9.086
Tl 0.000 0.000 11.311
Tl 2.886 2.886 2.548
Br 0.000 0.000 8.391
Br 2.886 2.886 5.469
Cl 0.000 2.886 11.625
Cl 2.886 0.000 11.625
Cl 0.000 2.886 2.235
Cl 2.886 0.000 2.235
```

Results
volume = 41.99 Å³ per atom
ΔE_f (raw) = -1.4100 eV/atom
density of states at the Fermi level = 3.444 states/eV/cell
total magnetization = 0.0 μB/cell

***

Entry 6:
A plane-wave DFT calculation with PBE was carried out for a geometry-optimized LiEr4Al structure.

Cell and atoms, written as extended XYZ:
```
6
Lattice="-3.903 2.704 -1.319 0.228 -1.891 -4.547 -4.476 -5.463 2.043" Properties=species:S:1:pos:R:3 pbc="T T T"
Li -2.008 -4.604 -3.519
Er -2.807 -1.845 -4.703
Er -5.110 -4.657 -3.655
Er -3.272 -5.063 -0.721
Er -0.971 -2.254 -1.769
Al -6.310 -5.038 -0.884
```

Results
volume = 29.77 Å³ per atom
DFT formation energy = 1.5 eV per formula unit
density of states at the Fermi level = 7.916 states/eV/cell
total magnetization = 0.0 μB/cell

***

Entry 7:
A plane-wave DFT calculation with PBE was carried out for a geometry-optimized TbPrNdCd structure.

Cell and atoms, written as extended XYZ:
```
4
Lattice="-0.269 3.266 -4.523 -4.961 1.666 -1.950 -1.547 5.343 0.502" Properties=species:S:1:pos:R:3 pbc="T T T"
Pr 0.000 0.000 0.000
Nd -3.389 5.137 -2.986
Tb -1.694 2.569 -1.493
Cd -5.083 7.706 -4.479
```

Results
relative energy among the computed polymorphs = 111.3 meV/atom
volume = 30.80 Å³ per atom
DFT formation energy = -0.2 eV per formula unit
density of states at the Fermi level = 5.827 states/eV/cell
total magnetization = 0.0 μB/cell

***

Entry 8:
A plane-wave DFT calculation with PBE was carried out for a geometry-optimized La2In3Pb3 structure.

Cell and atoms, written as extended XYZ:
```
8
Lattice="-1.533 4.025 2.115 -3.243 0.624 -3.537 -6.668 -5.264 5.186" Properties=species:S:1:pos:R:3 pbc="T T T"
La -5.017 -3.960 3.902
La -1.651 -1.303 1.284
In -4.100 -0.619 3.650
In -1.621 0.312 -1.769
In -4.955 -2.320 0.824
Pb -7.359 -1.600 3.155
Pb -4.084 0.985 0.608
Pb -0.766 2.013 1.057
```

Results
relative energy among the computed polymorphs = 0.0 meV/atom
volume = 28.89 Å³ per atom
DFT formation energy = -3.7 eV per formula unit
density of states at the Fermi level = 3.519 states/eV/cell
total magnetization = 0.0 μB/cell

***

Entry 9:
A plane-wave DFT calculation with PBE was carried out for a geometry-optimized LaMgZn structure.

Cell and atoms, written as extended XYZ:
```
3
Lattice="4.918 0.000 0.000 2.459 4.259 0.000 2.459 1.420 4.015" Properties=species:S:1:pos:R:3 pbc="T T T"
La 0.000 0.000 0.000
Mg 4.918 2.839 2.008
Zn 7.377 4.259 3.011
```

Results
volume = 28.03 Å³ per atom
DFT formation energy = -0.4 eV per formula unit
density of states at the Fermi level = 5.136 states/eV/cell
total magnetization = 0.0 μB/cell

***

Entry 10:
A plane-wave DFT calculation with PBE was carried out for a geometry-optimized Pm6S5Cl structure.

Cell and atoms, written as extended XYZ:
```
12
Lattice="-2.128 6.533 -1.292 -3.571 -3.989 4.496 5.653 1.367 3.893" Properties=species:S:1:pos:R:3 pbc="T T T"
S 0.467 5.526 1.584
S -2.607 3.038 0.630
S -0.023 1.955 3.548
S -3.091 -0.494 2.573
S -0.512 -1.615 5.513
Cl 0.000 0.000 0.000
Pm 0.243 2.864 0.854
Pm 0.215 4.720 4.221
Pm 2.688 1.684 3.730
Pm -2.734 2.227 3.366
Pm -0.260 -0.810 2.875
Pm -0.289 1.047 6.243
```

Results
volume = 23.34 Å³ per atom
ΔE_f (raw) = -1.9279 eV/atom
density of states at the Fermi level = 4.650 states/eV/cell
total magnetization = 0.0 μB/cell

***

Entry 11:
A plane-wave DFT calculation with PBE was carried out for a geometry-optimized TmZrTcAu structure.

Cell and atoms, written as extended XYZ:
```
4
Lattice="-3.885 -2.442 -1.474 -2.384 -2.830 3.089 -4.382 1.278 1.550" Properties=species:S:1:pos:R:3 pbc="T T T"
Tm -5.325 -1.997 1.583
Au -7.988 -2.996 2.374
Tc -2.663 -0.999 0.791
Zr 0.000 0.000 0.000
```

Results
volume = 19.80 Å³ per atom
DFT formation energy = -1.6 eV per formula unit
density of states at the Fermi level = 2.916 states/eV/cell
total magnetization = 0.0 μB/cell

***

Entry 12:
A plane-wave DFT calculation with PBE was carried out for a geometry-optimized BaTe2As structure.

Cell and atoms, written as extended XYZ:
```
4
Lattice="5.743 -0.006 0.074 -2.019 5.376 0.074 1.798 2.593 4.766" Properties=species:S:1:pos:R:3 pbc="T T T"
As 3.770 1.293 2.420
Te 0.000 0.000 0.000
Te 1.862 2.685 0.074
Ba -0.110 3.984 2.420
```

Results
volume = 36.22 Å³ per atom
ΔE_f (raw) = -0.4878 eV/atom
density of states at the Fermi level = 1.004 states/eV/cell
total magnetization = 0.0 μB/cell

***

Entry 13:
A plane-wave DFT calculation with PBE was carried out for a geometry-optimized Sr2LiLaTi4O12 structure.

Cell and atoms, written as extended XYZ:
```
20
Lattice="8.763 0.000 0.000 5.256 7.012 0.000 -7.010 -3.506 3.920" Properties=species:S:1:pos:R:3 pbc="T T T"
Sr 3.478 1.740 0.000
Sr 10.541 5.272 0.000
Li 0.000 0.000 0.000
La 7.010 3.506 0.000
Ti 6.154 0.886 1.960
Ti 0.856 2.619 1.960
Ti 4.400 4.392 1.960
Ti 2.609 -0.886 1.960
O 6.142 0.930 0.000
O 9.591 2.655 0.000
O 4.428 4.357 0.000
O 7.877 6.082 0.000
O 4.382 0.000 1.960
O -0.877 1.753 1.960
O 2.628 3.506 1.960
O 0.877 -1.753 1.960
O 5.285 2.643 1.915
O 8.734 4.368 1.915
O -1.724 -0.863 2.004
O 1.724 0.863 2.004
```

Results
volume = 12.04 Å³ per atom
ΔE_f (raw) = -3.0528 eV/atom
density of states at the Fermi level = 0.000 states/eV/cell
total magnetization = 0.0 μB/cell

***

Entry 14:
A plane-wave DFT calculation with PBE was carried out for a geometry-optimized Dy2Mg5Ag4 structure.

Cell and atoms, written as extended XYZ:
```
11
Lattice="-1.382 -5.684 -0.587 -0.040 -2.375 -6.346 6.390 -4.628 0.330" Properties=species:S:1:pos:R:3 pbc="T T T"
Dy 0.871 -6.253 -0.389
Dy 4.136 -4.060 0.131
Mg -0.691 -2.842 -0.294
Mg -0.020 -1.188 -3.173
Mg -0.711 -4.030 -3.467
Mg 2.829 -4.923 -3.155
Mg 2.138 -7.765 -3.448
Ag 3.778 -6.837 -1.568
Ag 1.189 -5.850 -5.036
Ag 1.535 -3.256 -1.532
Ag 3.432 -9.432 -5.071
```

Results
volume = 23.92 Å³ per atom
DFT formation energy = -0.8 eV per formula unit
density of states at the Fermi level = 6.230 states/eV/cell
total magnetization = 0.0 μB/cell

***

Entry 15:
A plane-wave DFT calculation with PBE was carried out for a geometry-optimized Tm4Pb2O structure.

Cell and atoms, written as extended XYZ:
```
14
Lattice="6.346 0.000 -0.312 0.000 6.621 0.000 -2.691 0.000 8.652" Properties=species:S:1:pos:R:3 pbc="T T T"
Tm 2.660 3.312 2.421
Tm -1.551 4.966 8.233
Tm 5.206 1.655 0.107
Tm 2.660 6.619 2.421
Tm 4.068 1.655 5.416
Tm 0.995 0.002 5.920
Tm 0.995 3.309 5.920
Tm -0.414 4.966 2.924
Pb 4.380 4.966 -0.008
Pb -0.725 1.655 8.348
Pb -0.115 1.655 3.374
Pb 3.770 4.966 4.966
O 1.402 4.966 1.751
O 2.252 1.655 6.590
```

Results
relative energy among the computed polymorphs = 0.0 meV/atom
volume = 25.57 Å³ per atom
ΔE_f (raw) = -1.1831 eV/atom
density of states at the Fermi level = 8.397 states/eV/cell
total magnetization = 0.0 μB/cell

***

Entry 16:
A plane-wave DFT calculation with PBE was carried out for a geometry-optimized RbCdIF2 structure.

Cell and atoms, written as extended XYZ:
```
5
Lattice="4.760 0.000 0.000 0.000 4.760 0.000 0.000 0.000 5.782" Properties=species:S:1:pos:R:3 pbc="T T T"
I 0.000 0.000 2.891
F 0.000 2.380 0.000
F 2.380 0.000 0.000
Rb 2.380 2.380 2.891
Cd 0.000 0.000 0.000
```

Results
volume = 26.20 Å³ per atom
ΔE_f (raw) = -1.7593 eV/atom
density of states at the Fermi level = 0.000 states/eV/cell
total magnetization = 0.0 μB/cell

***

Entry 17:
A plane-wave DFT calculation with PBE was carried out for a geometry-optimized ZrSc3Pd6 structure.

Cell and atoms, written as extended XYZ:
```
20
Lattice="-4.012 -0.751 -2.116 -3.066 -2.985 6.873 -2.014 9.556 0.429" Properties=species:S:1:pos:R:3 pbc="T T T"
Zr -5.113 2.950 6.151
Zr -3.980 2.871 -0.965
Sc -3.436 1.955 3.324
Sc -5.657 3.866 1.862
Sc -3.688 6.492 2.192
Sc -5.405 -0.671 2.993
Sc -5.326 6.858 5.168
Sc -3.767 -1.037 0.017
Pd -2.610 -0.662 2.686
Pd -6.483 6.483 2.499
Pd -1.903 1.342 0.635
Pd -7.189 4.479 4.550
Pd -4.292 4.540 4.029
Pd -4.801 1.281 1.156
Pd -2.771 4.052 1.319
Pd -6.322 1.769 3.867
Pd -4.230 0.227 5.443
Pd -4.863 5.594 -0.257
Pd -3.056 8.279 0.360
Pd -6.037 -2.458 4.825
```

Results
volume = 17.64 Å³ per atom
DFT formation energy = -8.1 eV per formula unit
density of states at the Fermi level = 12.238 states/eV/cell
total magnetization = 0.0 μB/cell

***

Entry 18:
A plane-wave DFT calculation with PBE was carried out for a geometry-optimized CaMg2GaHg2 structure.

Cell and atoms, written as extended XYZ:
```
6
Lattice="-3.553 1.332 -2.288 -2.602 -1.044 3.432 4.043 7.885 2.604" Properties=species:S:1:pos:R:3 pbc="T T T"
Ca -3.077 0.144 0.572
Mg -0.818 3.492 3.303
Mg -1.294 4.681 0.443
Ga 0.000 0.000 0.000
Hg 0.283 2.356 0.932
Hg -2.395 5.817 2.815
```

Results
volume = 28.43 Å³ per atom
DFT formation energy = -0.3 eV per formula unit
density of states at the Fermi level = 4.984 states/eV/cell
total magnetization = 0.0 μB/cell

***

Entry 19:
A plane-wave DFT calculation with PBE was carried out for a geometry-optimized Rb2CrRe structure.

Cell and atoms, written as extended XYZ:
```
4
Lattice="0.000 4.284 4.284 4.284 0.000 4.284 4.284 4.284 0.000" Properties=species:S:1:pos:R:3 pbc="T T T"
Re 4.284 4.284 4.284
Rb 2.142 2.142 2.142
Rb 6.426 6.426 6.426
Cr 0.000 0.000 0.000
```

Results
relative energy among the computed polymorphs = 656.6 meV/atom
volume = 39.32 Å³ per atom
DFT formation energy = 8.7 eV per formula unit
density of states at the Fermi level = 8.776 states/eV/cell
total magnetization = 9.1 μB/cell

***

Entry 20:
A plane-wave DFT calculation with PBE was carried out for a geometry-optimized Nd4Sm4Th structure.

Cell and atoms, written as extended XYZ:
```
9
Lattice="-4.657 -1.974 -1.110 1.050 -7.061 -3.931 -2.344 -4.747 6.195" Properties=species:S:1:pos:R:3 pbc="T T T"
Nd -4.723 -10.817 2.808
Nd -1.228 -2.965 -1.653
Nd -4.667 -4.511 3.441
Nd -1.284 -9.271 -2.287
Sm -3.544 -5.229 0.007
Sm -2.407 -8.553 1.148
Sm -4.731 -8.269 -1.689
Sm -1.220 -5.513 2.843
Th 0.000 0.000 0.000
```

Results
volume = 34.35 Å³ per atom
DFT formation energy = 0.3 eV per formula unit
density of states at the Fermi level = 13.653 states/eV/cell
total magnetization = 0.0 μB/cell

***

Entry 21:
A plane-wave DFT calculation with PBE was carried out for a geometry-optimized ScCoRe2As structure.

Cell and atoms, written as extended XYZ:
```
5
Lattice="4.601 0.000 0.000 0.000 4.754 0.000 0.000 0.000 4.601" Properties=species:S:1:pos:R:3 pbc="T T T"
Sc 0.000 0.000 0.000
Re 0.000 0.000 2.300
Re 2.300 0.000 0.000
As 0.000 2.377 0.000
Co 2.300 2.377 2.300
```

Results
volume = 20.13 Å³ per atom
DFT formation energy = 11.9 eV per formula unit
density of states at the Fermi level = 8.412 states/eV/cell
total magnetization = 0.8 μB/cell

***

Entry 22:
A plane-wave DFT calculation with PBE was carried out for a geometry-optimized Rb4Na4Cd structure.

Cell and atoms, written as extended XYZ:
```
9
Lattice="8.064 0.000 0.000 -4.032 8.273 4.032 0.000 0.000 8.064" Properties=species:S:1:pos:R:3 pbc="T T T"
Rb -1.665 6.594 6.400
Rb 1.665 6.594 9.729
Rb 2.368 1.679 5.697
Rb 5.697 1.679 2.368
Na 1.453 2.556 1.453
Na 6.612 2.556 6.612
Na -2.579 5.717 10.644
Na 2.579 5.717 5.485
Cd 0.000 0.000 0.000
```

Results
volume = 59.78 Å³ per atom
DFT formation energy = 0.6 eV per formula unit
density of states at the Fermi level = 5.306 states/eV/cell
total magnetization = 0.0 μB/cell

***

Entry 23:
A plane-wave DFT calculation with PBE was carried out for a geometry-optimized Sc2InMo structure.

Cell and atoms, written as extended XYZ:
```
4
Lattice="4.837 0.000 0.000 2.418 4.189 0.000 2.418 1.396 3.949" Properties=species:S:1:pos:R:3 pbc="T T T"
In 4.837 2.792 1.975
Mo 7.255 4.189 2.962
Sc 0.000 0.000 0.000
Sc 2.418 1.396 0.987
```

Results
volume = 20.00 Å³ per atom
DFT formation energy = 0.3 eV per formula unit
density of states at the Fermi level = 5.048 states/eV/cell
total magnetization = 1.4 μB/cell